(1)
Compound: Tc2AuSe
Source: Alexandria
Functional: PBE
Structure: relaxed

```
Tc2AuSe
1.0
-1.519 2.305 4.600
1.519 -2.305 4.600
1.519 2.305 -4.600
Tc Au Se
2 1 1
Direct
0.213 0.213 0.000 Tc
0.787 0.787 0.000 Tc
0.500 0.000 0.500 Au
0.000 0.500 0.500 Se
```

Computed properties:
The formation energy from raw total energies is 2.0 eV/f.u. The space group is Immm.

=====

(2)
Compound: Tc2AuSe
Source: Alexandria
Functional: PBE
Structure: relaxed

```
Tc2AuSe
1.0
4.699 -1.474 0.000
4.699 1.474 0.000
-1.044 0.000 4.841
Tc Au Se
2 1 1
Direct
0.000 0.000 0.000 Tc
0.738 0.738 0.197 Tc
0.242 0.242 0.720 Au
0.472 0.472 0.380 Se
```

Computed properties:
The formation energy from raw total energies is 1.4 eV/f.u. The space group is Cm.

=====

(3)
Compound: TcAuSe2
Source: Alexandria
Functional: PBE
Structure: relaxed

```
TcAuSe2
1.0
5.894 0.000 0.000
0.000 3.742 0.000
-2.302 0.000 7.750
Tc Au Se
2 2 4
Direct
0.195 0.250 0.011 Tc
0.805 0.750 0.989 Tc
0.206 0.750 0.527 Au
0.794 0.250 0.473 Au
0.179 0.750 0.212 Se
0.345 0.750 0.848 Se
0.655 0.250 0.152 Se
0.821 0.250 0.788 Se
```

Computed properties:
The distance to the lowest polymorph of the same formula comes out at 0 kJ/mol of formula units. The formation energy from raw total energies is -0.8 eV/f.u. The space group is P2_1/m.

=====

(4)
Compound: TcAuSe2
Source: Alexandria
Functional: PBE
Structure: relaxed

```
TcAuSe2
1.0
1.560 0.901 9.783
-1.560 0.901 9.783
0.000 -1.802 9.783
Tc Au Se
1 1 2
Direct
0.000 0.000 0.000 Tc
0.257 0.257 0.257 Au
0.517 0.517 0.517 Se
0.723 0.723 0.723 Se
```

Computed properties:
The distance to the lowest polymorph of the same formula comes out at 128 kJ/mol of formula units. The formation energy from raw total energies is 0.5 eV/f.u. The space group is R3m.

=====

(5)
Compound: TcAu2Se
Source: Alexandria
Functional: PBE
Structure: relaxed

```
TcAu2Se
1.0
3.125 0.000 0.000
0.000 4.536 0.000
0.000 0.000 5.051
Tc Au Se
1 2 1
Direct
0.000 0.000 0.000 Tc
0.000 0.500 0.500 Au
0.500 0.000 0.500 Au
0.500 0.500 0.000 Se
```

Computed properties:
The formation energy from raw total energies is 1.9 eV/f.u. The space group is Pmmm.

=====

(6)
Compound: Tc2AuSe
Source: Alexandria
Functional: PBE
Structure: relaxed

```
Tc2AuSe
1.0
2.894 0.000 0.000
0.000 2.894 0.000
0.000 0.000 8.280
Tc Au Se
2 1 1
Direct
0.000 0.000 0.000 Tc
0.500 0.500 0.208 Tc
0.000 0.000 0.454 Au
0.500 0.500 0.803 Se
```

Computed properties:
The formation energy from raw total energies is 0.6 eV/f.u. The space group is P4mm.